## Zr2SbPd2 (PBE-GGA)

Data for a geometry-optimized Zr2SbPd2 structure.

Structure (POSCAR):
```
Zr2SbPd2
1.0
-0.272 4.966 -5.277
-2.176 -5.093 -4.681
-3.603 0.734 0.877
Sb Zr Pd
2 4 4
Direct
0.000 0.000 0.000
0.500 0.500 0.000
0.169 0.669 0.500
0.669 0.831 0.500
0.831 0.331 0.500
0.331 0.169 0.500
0.370 0.870 0.000
0.870 0.630 0.000
0.630 0.130 0.000
0.130 0.370 0.000
```

For the formation energy without anion corrections, the calculation gives -648 meV/atom. As for the energy above the most stable polymorph in this dataset: 0.0 kJ/mol of formula units. Its calculated density is 8.64 Mg/m³.

=====

## ZrSbPd2 (PBE-GGA)

Data for a geometry-optimized ZrSbPd2 structure.

Structure (POSCAR):
```
ZrSbPd2
1.0
-3.244 2.312 1.125
-2.470 -2.300 -2.397
-4.485 -5.813 6.625
Sb Zr Pd
2 2 4
Direct
0.000 0.000 0.000
0.750 0.250 0.500
0.500 0.500 0.000
0.250 0.750 0.500
0.628 0.125 0.250
0.122 0.625 0.250
0.375 0.372 0.750
0.875 0.878 0.750
```

For the formation energy without anion corrections, the calculation gives -413 meV/atom. Its calculated density is 8.74 Mg/m³.

=====

## Zr3Sb2Pd (PBE-GGA)

Data for a geometry-optimized Zr3Sb2Pd structure.

Structure (POSCAR):
```
Zr3Sb2Pd
1.0
-0.823 2.604 -3.292
3.976 -7.089 -6.601
-10.558 -4.825 -1.178
Zr Sb Pd
12 8 4
Direct
0.250 0.383 0.030
0.750 0.617 0.970
0.750 0.883 0.470
0.250 0.117 0.530
0.250 0.673 0.195
0.750 0.327 0.805
0.750 0.173 0.305
0.250 0.827 0.695
0.250 0.417 0.371
0.750 0.583 0.629
0.750 0.917 0.129
0.250 0.083 0.871
0.250 0.681 0.481
0.750 0.319 0.519
0.750 0.181 0.019
0.250 0.819 0.981
0.250 0.962 0.309
0.750 0.038 0.691
0.750 0.462 0.191
0.250 0.538 0.809
0.250 0.145 0.152
0.750 0.855 0.848
0.750 0.645 0.348
0.250 0.355 0.652
```

For the formation energy without anion corrections, the calculation gives -651 meV/atom. Its calculated density is 7.93 Mg/m³.

=====

## ZrSbPd2 (PBE-GGA)

Data for a geometry-optimized ZrSbPd2 structure.

Structure (POSCAR):
```
ZrSbPd2
1.0
-0.173 4.126 0.932
-4.103 0.010 -0.808
-0.790 -0.936 3.998
Sb Zr Pd
1 1 2
Direct
0.500 0.000 0.000
0.500 0.500 0.500
0.000 0.000 0.500
0.000 0.500 0.000
```

For the formation energy without anion corrections, the calculation gives -610 meV/atom. Its calculated density is 9.55 Mg/m³.

=====

## Zr2SbPd2 (PBE-GGA)

Data for a geometry-optimized Zr2SbPd2 structure.

Structure (POSCAR):
```
Zr2SbPd2
1.0
7.862 0.000 0.000
0.000 7.862 0.000
0.000 0.000 3.355
Sb Zr Pd
2 4 4
Direct
0.000 0.000 0.000
0.500 0.500 0.000
0.336 0.836 0.000
0.836 0.664 0.000
0.664 0.164 0.000
0.164 0.336 0.000
0.127 0.627 0.500
0.627 0.873 0.500
0.873 0.373 0.500
0.373 0.127 0.500
```

For the formation energy without anion corrections, the calculation gives -482 meV/atom. As for the energy above the most stable polymorph in this dataset: 79.8 kJ/mol of formula units. Its calculated density is 8.28 Mg/m³.

=====

## ZrSbPd (PBE-GGA)

Data for a geometry-optimized ZrSbPd structure.

Structure (POSCAR):
```
ZrSbPd
1.0
-1.086 -1.331 -6.749
-0.915 -8.504 1.824
-4.820 5.711 3.242
Zr Sb Pd
6 6 6
Direct
0.766 0.009 0.517
0.248 0.991 0.483
0.327 0.758 0.016
0.311 0.242 0.984
0.147 0.442 0.385
0.762 0.558 0.615
0.711 0.209 0.917
0.794 0.791 0.083
0.422 0.178 0.336
0.085 0.822 0.664
0.085 0.341 0.664
0.422 0.659 0.336
0.995 0.000 0.000
0.995 0.500 0.000
0.503 0.429 0.761
0.742 0.571 0.239
0.742 0.168 0.239
0.503 0.832 0.761
```

For the formation energy without anion corrections, the calculation gives -713 meV/atom. Its calculated density is 8.82 Mg/m³.

=====

## Zr2SbPd9 (PBE-GGA)

Data for a geometry-optimized Zr2SbPd9 structure.

Structure (POSCAR):
```
Zr2SbPd9
1.0
4.040 0.000 0.000
0.000 4.040 0.000
0.000 0.000 12.139
Zr Sb Pd
2 1 9
Direct
0.000 0.000 0.334
0.000 0.000 0.666
0.000 0.000 0.000
0.500 0.500 0.000
0.500 0.500 0.334
0.500 0.500 0.666
0.500 0.000 0.171
0.500 0.000 0.500
0.500 0.000 0.829
0.000 0.500 0.171
0.000 0.500 0.500
0.000 0.500 0.829
```

For the formation energy without anion corrections, the calculation gives -664 meV/atom. Its calculated density is 10.58 Mg/m³.

=====

## Zr2Sb3Pd (PBE-GGA)

Data for a geometry-optimized Zr2Sb3Pd structure.

Structure (POSCAR):
```
Zr2Sb3Pd
1.0
-0.115 0.766 -3.883
1.320 -3.654 -0.760
-8.206 -2.897 -0.328
Zr Sb Pd
2 3 1
Direct
0.500 0.000 0.738
0.000 0.500 0.262
0.500 0.000 0.382
0.000 0.500 0.618
0.000 0.000 0.000
0.500 0.500 0.000
```

For the formation energy without anion corrections, the calculation gives -604 meV/atom. As for the energy above the most stable polymorph in this dataset: 0.0 kJ/mol of formula units. Its calculated density is 7.96 Mg/m³.

=====

## ZrSbPd6 (PBE-GGA)

Data for a geometry-optimized ZrSbPd6 structure.

Structure (POSCAR):
```
ZrSbPd6
1.0
4.017 0.000 0.000
0.000 5.745 -0.037
0.000 0.036 5.745
Zr Sb Pd
1 1 6
Direct
0.500 0.000 0.000
0.500 0.500 0.500
0.000 0.754 0.246
0.000 0.246 0.754
0.000 0.754 0.754
0.000 0.246 0.246
0.500 0.500 0.000
0.500 0.000 0.500
```

For the formation energy without anion corrections, the calculation gives -578 meV/atom. As for the energy above the most stable polymorph in this dataset: 0.0 kJ/mol of formula units. Its calculated density is 10.67 Mg/m³.

=====

## Zr2Sb3Pd (PBE-GGA)

Data for a geometry-optimized Zr2Sb3Pd structure.

Structure (POSCAR):
```
Zr2Sb3Pd
1.0
4.062 0.000 0.000
0.000 10.280 0.000
0.000 0.000 13.199
Zr Sb Pd
8 12 4
Direct
0.250 0.657 0.515
0.750 0.343 0.485
0.750 0.157 0.985
0.250 0.843 0.015
0.250 0.977 0.326
0.750 0.023 0.674
0.750 0.477 0.174
0.250 0.523 0.826
0.250 0.367 0.029
0.750 0.633 0.971
0.750 0.867 0.471
0.250 0.133 0.529
0.250 0.702 0.226
0.750 0.298 0.774
0.750 0.202 0.274
0.250 0.798 0.726
0.250 0.441 0.343
0.750 0.559 0.657
0.750 0.941 0.157
0.250 0.059 0.843
0.250 0.127 0.137
0.750 0.873 0.863
0.750 0.627 0.363
0.250 0.373 0.637
```

For the formation energy without anion corrections, the calculation gives -531 meV/atom. As for the energy above the most stable polymorph in this dataset: 42.1 kJ/mol of formula units. Its calculated density is 7.88 Mg/m³.

=====

## ZrSb2Pd2 (PBE-GGA)

Data for a geometry-optimized ZrSb2Pd2 structure.

Structure (POSCAR):
```
ZrSb2Pd2
1.0
7.613 0.000 0.000
0.000 7.613 0.000
0.000 0.000 3.494
Sb Zr Pd
4 2 4
Direct
0.179 0.679 0.500
0.679 0.821 0.500
0.821 0.321 0.500
0.321 0.179 0.500
0.000 0.000 0.000
0.500 0.500 0.000
0.375 0.875 0.000
0.875 0.625 0.000
0.625 0.125 0.000
0.125 0.375 0.000
```

For the formation energy without anion corrections, the calculation gives -416 meV/atom. Its calculated density is 8.98 Mg/m³.

=====

## Zr3Sb4Pd3 (PBE-GGA)

Data for a geometry-optimized Zr3Sb4Pd3 structure.

Structure (POSCAR):
```
Zr3Sb4Pd3
1.0
-1.225 7.138 -3.835
4.970 -4.705 -4.507
-7.179 -3.814 1.031
Zr Sb Pd
6 8 6
Direct
0.625 0.750 0.875
0.875 0.250 0.625
0.125 0.375 0.250
0.375 0.125 0.750
0.250 0.875 0.125
0.750 0.625 0.375
0.000 0.000 0.319
0.500 0.319 0.500
0.681 0.181 0.181
0.000 0.000 0.819
0.819 0.500 0.000
0.500 0.819 0.500
0.319 0.500 0.000
0.181 0.681 0.681
0.125 0.750 0.375
0.375 0.250 0.125
0.625 0.875 0.250
0.875 0.625 0.750
0.250 0.375 0.625
0.750 0.125 0.875
```

For the formation energy without anion corrections, the calculation gives -690 meV/atom. Its calculated density is 8.47 Mg/m³.

=====

## ZrSbPd6 (PBE-GGA)

Data for a geometry-optimized ZrSbPd6 structure.

Structure (POSCAR):
```
ZrSbPd6
1.0
7.027 0.333 -0.189
3.793 6.589 0.032
3.479 2.362 3.012
Zr Sb Pd
1 1 6
Direct
0.500 0.500 0.500
0.000 0.000 0.000
0.955 0.449 0.847
0.748 0.957 0.745
0.448 0.252 0.344
0.252 0.043 0.255
0.045 0.551 0.153
0.552 0.748 0.656
```

For the formation energy without anion corrections, the calculation gives -467 meV/atom. As for the energy above the most stable polymorph in this dataset: 85.7 kJ/mol of formula units. Its calculated density is 10.26 Mg/m³.

=====

## ZrSbPd (PBE-GGA)

Data for a geometry-optimized ZrSbPd structure.

Structure (POSCAR):
```
ZrSbPd
1.0
-3.035 2.896 0.488
-3.921 -3.290 -4.860
-5.265 -6.943 8.450
Zr Sb Pd
6 6 6
Direct
0.750 0.527 0.385
0.250 0.972 0.705
0.750 0.028 0.295
0.750 0.667 0.079
0.250 0.473 0.615
0.250 0.333 0.921
0.250 0.753 0.911
0.750 0.267 0.752
0.750 0.766 0.585
0.750 0.247 0.089
0.250 0.234 0.415
0.250 0.733 0.248
0.250 0.996 0.086
0.250 0.843 0.454
0.750 0.626 0.798
0.750 0.157 0.546
0.250 0.374 0.202
0.750 0.004 0.914
```

For the formation energy without anion corrections, the calculation gives -721 meV/atom. Its calculated density is 8.80 Mg/m³.

=====

## ZrSb3Pd (PBE-GGA)

Data for a geometry-optimized ZrSb3Pd structure.

Structure (POSCAR):
```
ZrSb3Pd
1.0
-4.115 -2.930 1.082
1.770 -3.662 -3.184
2.573 -2.165 3.921
Sb Zr Pd
3 1 1
Direct
0.000 0.500 0.000
0.000 0.000 0.500
0.500 0.000 0.000
0.500 0.500 0.500
0.000 0.000 0.000
```

For the formation energy without anion corrections, the calculation gives 381 meV/atom. As for the energy above the most stable polymorph in this dataset: 0.0 kJ/mol of formula units. Its calculated density is 6.78 Mg/m³.

=====

## Sc4Pd3 (PBE-GGA)

Data for a geometry-optimized Sc4Pd3 structure.

Structure (POSCAR):
```
Sc4Pd3
1.0
4.446 0.000 1.325
2.026 3.958 1.325
0.044 0.027 7.972
Sc Pd
4 3
Direct
0.622 0.622 0.135
0.873 0.873 0.382
0.127 0.127 0.618
0.378 0.378 0.865
0.252 0.252 0.244
0.748 0.748 0.756
0.000 0.000 0.000
```

The formation energy is -70.1 kJ per mole of atoms. Its calculated density is 5.92 Mg/m³.

=====

## Sc3Pd4 (PBE-GGA)

Data for a geometry-optimized Sc3Pd4 structure.

Structure (POSCAR):
```
Sc3Pd4
1.0
5.591 0.000 0.000
-1.864 7.162 0.000
-1.864 -3.581 6.202
Sc Pd
6 8
Direct
0.103 0.608 0.866
0.236 0.134 0.742
0.495 0.258 0.392
0.897 0.392 0.134
0.764 0.866 0.258
0.505 0.742 0.608
0.500 0.000 0.000
0.000 0.000 0.000
0.948 0.692 0.530
0.419 0.470 0.162
0.257 0.838 0.308
0.052 0.308 0.470
0.581 0.530 0.838
0.743 0.162 0.692
```

The formation energy is -87.2 kJ per mole of atoms. As for the energy above the most stable polymorph in this dataset: 0.0 kJ/mol of formula units. Its calculated density is 7.50 Mg/m³.

=====

## ScPd (PBE-GGA)

Data for a geometry-optimized ScPd structure.

Structure (POSCAR):
```
ScPd
1.0
-3.040 0.566 -5.114
-0.565 -5.941 -0.322
-5.114 0.319 3.075
Sc Pd
4 4
Direct
0.250 0.250 0.250
0.250 0.750 0.750
0.750 0.250 0.750
0.750 0.750 0.250
0.000 0.000 0.000
0.000 0.500 0.500
0.500 0.000 0.500
0.500 0.500 0.000
```

The formation energy is -2.5 kJ per mole of atoms. Its calculated density is 4.71 Mg/m³.

=====

## ScPd (PBE-GGA)

Data for a geometry-optimized ScPd structure.

Structure (POSCAR):
```
ScPd
1.0
7.361 0.000 0.000
0.000 7.361 0.000
0.000 0.000 7.361
Sc Pd
6 6
Direct
0.250 0.000 0.500
0.750 0.000 0.500
0.000 0.500 0.250
0.000 0.500 0.750
0.500 0.250 0.000
0.500 0.750 0.000
0.250 0.500 0.000
0.750 0.500 0.000
0.500 0.000 0.250
0.500 0.000 0.750
0.000 0.250 0.500
0.000 0.750 0.500
```

The formation energy is 13.0 kJ per mole of atoms. Its calculated density is 3.78 Mg/m³.

=====

## ScPd (PBE-GGA)

Data for a geometry-optimized ScPd structure.

Structure (POSCAR):
```
ScPd
1.0
8.014 0.000 0.000
0.000 8.014 0.000
0.000 0.000 8.014
Sc Pd
8 8
Direct
0.193 0.193 0.193
0.193 0.807 0.807
0.807 0.193 0.807
0.807 0.807 0.193
0.693 0.693 0.693
0.693 0.307 0.307
0.307 0.693 0.307
0.307 0.307 0.693
0.375 0.375 0.375
0.375 0.625 0.625
0.625 0.375 0.625
0.625 0.625 0.375
0.875 0.875 0.875
0.875 0.125 0.125
0.125 0.875 0.125
0.125 0.125 0.875
```

The formation energy is 5.3 kJ per mole of atoms. Its calculated density is 3.91 Mg/m³.

=====

## Sc4Pd (PBE-GGA)

Data for a geometry-optimized Sc4Pd structure.

Structure (POSCAR):
```
Sc4Pd
1.0
5.081 0.000 0.000
0.000 5.081 0.000
0.000 0.000 5.081
Sc Pd
4 1
Direct
0.000 0.000 0.000
0.500 0.000 0.500
0.000 0.500 0.500
0.500 0.500 0.000
0.500 0.500 0.500
```

The formation energy is -1.7 kJ per mole of atoms. As for the energy above the most stable polymorph in this dataset: 109.3 kJ/mol of formula units. Its calculated density is 3.62 Mg/m³.

=====

Calculated total moment (Bohr magnetons per cell), listed in the same order as above: 0.00; 0.00; 0.00; 0.00; 0.00; 0.00; 0.00; 0.00; 0.00; 0.00; 0.00; 0.00; 0.00; 0.00; 0.00; 0.00; 0.00; 0.00; 0.00; 0.00; 0.00